VASP calculation (PBE+U) on Mo2PbF after structural relaxation.

Calculated values
* uncorrected energy: -71.3 eV/cell
* crystal system: cubic

```
data_Mo2PbF
_chemical_formula_sum 'Mo8 Pb4 F4'
_cell_length_a 6.895
_cell_length_b 6.895
_cell_length_c 6.895
_cell_angle_alpha 90.00
_cell_angle_beta 90.00
_cell_angle_gamma 90.00
_space_group_name_H-M_alt 'F m -3 m'
_space_group_IT_number 225
_space_group_name_Hall '-F 4 2 3'
loop_
_atom_site_label
_atom_site_type_symbol
_atom_site_fract_x
_atom_site_fract_y
_atom_site_fract_z
_atom_site_occupancy
Mo1 Mo 0.250 0.250 0.250 1
Pb1 Pb 0.000 0.000 0.000 1
F1 F 0.000 0.000 0.500 1
```